Record 1
# BaDy2Hg

An optimized crystal structure of BaDy2Hg (PBE, the Alexandria database).

Lattice parameters (Å, degrees): 3.692 3.692 12.092 81.22 81.22 60.00
Atoms (fractional coordinates):
1 Dy 0.102 0.102 0.693
2 Dy 0.898 0.898 0.307
3 Ba 0.000 0.000 0.000
4 Hg 0.500 0.500 0.500

theoretical density: 7.83 Mg/m³
M_tot: 0.24 μB per cell
symmetry: R-3m
formation energy: 0.08 eV/atom



Record 2
# CaNbZn

An optimized crystal structure of CaNbZn (PBE, the Alexandria database).

Lattice parameters (Å, degrees): 4.705 5.734 6.088 63.74 67.96 70.29
Atoms (fractional coordinates):
1 Zn 0.541 0.727 0.382
2 Zn 0.898 0.728 0.651
3 Nb 0.187 0.186 0.453
4 Nb 0.755 0.258 0.267
5 Ca 0.175 0.757 0.040
6 Ca 0.496 0.254 0.843

distance to the lowest polymorph of the same formula: 144 meV per atom
theoretical density: 4.93 Mg/m³
M_tot: 0.00 μB per cell
symmetry: P1
formation energy: 0.24 eV/atom



Record 3
# ScCoSe2

An optimized crystal structure of ScCoSe2 (PBE, the Alexandria database).

Lattice parameters (Å, degrees): 4.621 4.621 4.621 60.00 60.00 60.00
Atoms (fractional coordinates):
1 Se 0.750 0.750 0.750
2 Se 0.250 0.250 0.250
3 Sc 0.000 0.000 0.000
4 Co 0.500 0.500 0.500

distance to the lowest polymorph of the same formula: 309 meV per atom
theoretical density: 6.23 Mg/m³
M_tot: 1.84 μB per cell
symmetry: Fm-3m



Record 4
# Pa4Co7Ge6

An optimized crystal structure of Pa4Co7Ge6 (PBE, the Alexandria database).

Lattice parameters (Å, degrees): 7.084 7.084 7.084 109.47 109.47 109.47
Atoms (fractional coordinates):
1 Ge 0.000 0.677 0.677
2 Co 0.750 0.250 0.500
3 Ge 0.677 0.677 0.000
4 Ge 0.000 0.323 0.323
5 Co 0.250 0.750 0.500
6 Co 0.500 0.750 0.250
7 Pa 0.000 0.500 0.000
8 Pa 0.500 0.500 0.500
9 Pa 0.000 0.000 0.500
10 Ge 0.323 0.000 0.323
11 Co 0.000 0.000 0.000
12 Ge 0.323 0.323 0.000
13 Pa 0.500 0.000 0.000
14 Ge 0.677 0.000 0.677
15 Co 0.250 0.500 0.750
16 Co 0.500 0.250 0.750
17 Co 0.750 0.500 0.250

theoretical density: 10.76 Mg/m³
M_tot: 2.29 μB per cell
symmetry: Im-3m
formation energy: -0.47 eV/atom



- theoretical density of number 4 (Pa4Co7Ge6)?
  10.76 Mg/m³



- What is the M_tot in the second record?
  0.00 μB per cell



- Look up the M_tot of the first one.
  0.24 μB per cell